Entry from Alexandria: PuCoO after structural relaxation (PBE+U).

uncorrected energy	-223.2	eV for the cell shown
ρ	10.5	g/cm³

Cell and atoms, written as CIF:
```
data_PuCoO
_chemical_formula_sum 'Pu8 Co8 O8'
_cell_length_a 18.5162
_cell_length_b 3.3083
_cell_length_c 6.9792
_cell_angle_alpha 90.00
_cell_angle_beta 109.44
_cell_angle_gamma 90.00
_space_group_name_H-M_alt 'C 1 2/m 1'
_space_group_IT_number 12
loop_
_space_group_symop_operation_xyz
'x,y,z'
'-x,-y,-z'
'-x,y,-z'
'x,-y,z'
'x+1/2,y+1/2,z'
'-x+1/2,-y+1/2,-z'
'-x+1/2,y+1/2,-z'
'x+1/2,-y+1/2,z'
loop_
_atom_site_label
_atom_site_fract_x
_atom_site_fract_y
_atom_site_fract_z
Pu1 0.0908 0.0000 0.4634
Pu2 0.1129 0.0000 0.0103
Co1 0.2284 0.5000 0.8556
Co2 0.2297 0.5000 0.3593
O1 0.0353 0.0000 0.7029
O2 0.0998 0.5000 0.2274
```